CaMnWBr2 | GGA-PBE | relaxed

It has space group P4/mmm (No. 123), with a = 4.946 Å, b = 4.946 Å, c = 6.225 Å, α = 90.00°, β = 90.00° and γ = 90.00°. The asymmetric unit holds Ca at (0.000, 0.000, 0.000), Mn at (0.500, 0.500, 0.000), W at (0.000, 0.000, 0.500) and Br at (0.000, 0.500, 0.500).

As for the magnetization: 4.7 μB/f.u. As for the uncorrected formation energy: 4.37 eV per formula unit.

SiNiHN | GGA-PBE | relaxed

It has space group Pm (No. 6), with a = 2.917 Å, b = 2.683 Å, c = 4.805 Å, α = 90.00°, β = 103.59° and γ = 90.00°. The asymmetric unit holds Si at (0.000, 0.000, 0.000), Ni at (0.617, 0.500, 0.291), H at (0.222, 0.500, 0.658) and N at (0.918, 0.500, 0.738).

For the energy relative to the lowest polymorph listed for this composition, the calculation gives 171 meV/atom. As for the magnetization: 0.0 μB/f.u.

Y2CoCl | GGA-PBE | relaxed

It has space group R3m (No. 160, hexagonal axes), with a = 3.8300 Å, b = 3.8300 Å, c = 22.3546 Å, α = 90.00°, β = 90.00° and γ = 120.00°. The asymmetric unit holds Y at (0.0000, 0.0000, 0.0000), Y at (0.0000, 0.0000, 0.2025), Co at (0.0000, 0.0000, 0.6007) and Cl at (0.0000, 0.0000, 0.4298).

For the energy relative to the lowest polymorph listed for this composition, the calculation gives 25 meV/atom. As for the magnetization: 0.0 μB/f.u. As for the uncorrected formation energy: -3.20 eV per formula unit.